A relaxed structure of Sr2LiHg, computed with PBE.

Unit cell a=6.630 b=6.630 c=5.842 alpha=109.25 beta=109.25 gamma=34.15
Fractional coordinates of all 4 atoms:
Sr  0.000  0.000  0.000
Sr  0.204  0.204  0.652
Li  0.785  0.785  0.237
Hg  0.462  0.462  0.474

Output
* DFT formation energy: -220 meV/atom
* spin magnetization: 0.00 μB per atom
* space group: Cm (8)


A relaxed structure of Sr3Li4Hg4, computed with PBE.

Unit cell a=9.128 b=9.128 c=9.128 alpha=149.68 beta=128.32 gamma=61.10
Fractional coordinates of all 11 atoms:
Sr  0.000  0.000  0.000
Sr  0.374  0.874  0.500
Sr  0.626  0.126  0.500
Li  0.014  0.324  0.690
Li  0.365  0.676  0.690
Li  0.635  0.324  0.310
Li  0.986  0.676  0.310
Hg  0.218  0.218  0.000
Hg  0.304  0.500  0.804
Hg  0.696  0.500  0.196
Hg  0.782  0.782  0.000

Output
* DFT formation energy: -375 meV/atom
* spin magnetization: 0.00 μB per atom
* space group: Immm (71)


A relaxed structure of Sr12LiHg6, computed with PBE.

Unit cell a=9.591 b=9.591 c=9.591 alpha=100.27 beta=100.27 gamma=100.27
Fractional coordinates of all 19 atoms:
Sr  0.039  0.673  0.919
Sr  0.081  0.961  0.327
Sr  0.179  0.414  0.563
Sr  0.327  0.081  0.961
Sr  0.414  0.563  0.179
Sr  0.437  0.821  0.586
Sr  0.563  0.179  0.414
Sr  0.586  0.437  0.821
Sr  0.673  0.919  0.039
Sr  0.821  0.586  0.437
Sr  0.919  0.039  0.673
Sr  0.961  0.327  0.081
Li  0.000  0.000  0.000
Hg  0.135  0.631  0.317
Hg  0.317  0.135  0.631
Hg  0.369  0.683  0.865
Hg  0.631  0.317  0.135
Hg  0.683  0.865  0.369
Hg  0.865  0.369  0.683

Output
* DFT formation energy: -217 meV/atom
* spin magnetization: 0.00 μB per atom
* offset from the most stable computed form: 0.087 eV/atom
* space group: R-3 (148)


A relaxed structure of Sr4Li5Hg6, computed with PBE.

Unit cell a=11.553 b=11.553 c=16.809 alpha=90.00 beta=90.00 gamma=157.56
Fractional coordinates of all 30 atoms:
Sr  0.014  0.986  0.500
Sr  0.034  0.966  0.764
Sr  0.161  0.839  0.292
Sr  0.187  0.813  0.927
Sr  0.813  0.187  0.427
Sr  0.839  0.161  0.792
Sr  0.966  0.034  0.264
Sr  0.986  0.014  0.000
Li  0.154  0.846  0.620
Li  0.305  0.695  0.602
Li  0.338  0.662  0.254
Li  0.358  0.642  0.981
Li  0.440  0.560  0.659
Li  0.560  0.440  0.159
Li  0.642  0.358  0.481
Li  0.662  0.338  0.754
Li  0.695  0.305  0.102
Li  0.846  0.154  0.120
Hg  0.116  0.884  0.101
Hg  0.213  0.787  0.479
Hg  0.235  0.765  0.741
Hg  0.420  0.580  0.404
Hg  0.424  0.576  0.126
Hg  0.440  0.560  0.851
Hg  0.560  0.440  0.351
Hg  0.576  0.424  0.626
Hg  0.580  0.420  0.904
Hg  0.765  0.235  0.241
Hg  0.787  0.213  0.979
Hg  0.884  0.116  0.601

Output
* DFT formation energy: -349 meV/atom
* spin magnetization: 0.00 μB per atom
* space group: Cmc2_1 (36)


A relaxed structure of Sr2Li5Hg4, computed with PBE.

Unit cell a=10.008 b=9.126 c=5.959 alpha=80.13 beta=63.95 gamma=35.92
Fractional coordinates of all 11 atoms:
Sr  0.141  0.141  0.859
Sr  0.859  0.859  0.141
Li  0.000  0.000  0.500
Li  0.250  0.250  0.250
Li  0.500  0.500  0.000
Li  0.500  0.500  0.500
Li  0.750  0.750  0.750
Hg  0.211  0.530  0.470
Hg  0.470  0.789  0.211
Hg  0.530  0.211  0.789
Hg  0.789  0.470  0.530

Output
* DFT formation energy: -344 meV/atom
* spin magnetization: 0.00 μB per atom
* space group: Fmmm (69)


A relaxed structure of Sr2Li2Hg, computed with PBE.

Unit cell a=7.769 b=7.769 c=5.210 alpha=90.00 beta=90.00 gamma=90.00
Fractional coordinates of all 10 atoms:
Sr  0.186  0.314  0.000
Sr  0.314  0.814  0.000
Sr  0.686  0.186  0.000
Sr  0.814  0.686  0.000
Li  0.130  0.630  0.500
Li  0.370  0.130  0.500
Li  0.630  0.870  0.500
Li  0.870  0.370  0.500
Hg  0.000  0.000  0.500
Hg  0.500  0.500  0.500

Output
* DFT formation energy: -120 meV/atom
* spin magnetization: 0.00 μB per atom
* offset from the most stable computed form: 0.099 eV/atom
* space group: P4/mbm (127)


A relaxed structure of Sr8Li2Hg, computed with PBE.

Unit cell a=9.889 b=9.889 c=9.889 alpha=144.73 beta=117.27 gamma=74.06
Fractional coordinates of all 11 atoms:
Sr  0.121  0.345  0.777
Sr  0.128  0.128  0.000
Sr  0.321  0.000  0.321
Sr  0.432  0.655  0.777
Sr  0.568  0.345  0.223
Sr  0.679  0.000  0.679
Sr  0.872  0.872  0.000
Sr  0.879  0.655  0.223
Li  0.301  0.801  0.500
Li  0.699  0.199  0.500
Hg  0.000  0.500  0.500

Output
* DFT formation energy: 3 meV/atom
* spin magnetization: 0.00 μB per atom
* offset from the most stable computed form: 0.067 eV/atom
* space group: Immm (71)


A relaxed structure of Sr3Li5Hg, computed with PBE.

Unit cell a=8.173 b=8.173 c=4.930 alpha=90.00 beta=90.00 gamma=120.00
Fractional coordinates of all 9 atoms:
Sr  0.000  0.405  0.000
Sr  0.405  0.000  0.000
Sr  0.595  0.595  0.000
Li  0.000  0.783  0.500
Li  0.217  0.217  0.500
Li  0.333  0.667  0.500
Li  0.667  0.333  0.500
Li  0.783  0.000  0.500
Hg  0.000  0.000  0.000

Output
* DFT formation energy: -89 meV/atom
* spin magnetization: 0.00 μB per atom
* space group: P-62m (189)


A relaxed structure of Sr4Li5Hg, computed with PBE.

Unit cell a=8.161 b=8.161 c=8.161 alpha=97.33 beta=97.33 gamma=138.16
Fractional coordinates of all 10 atoms:
Sr  0.000  0.291  0.291
Sr  0.000  0.709  0.709
Sr  0.291  0.000  0.291
Sr  0.709  0.000  0.709
Li  0.270  0.270  0.000
Li  0.349  0.349  0.669
Li  0.349  0.680  0.000
Li  0.680  0.349  0.000
Li  0.680  0.680  0.331
Hg  0.757  0.757  0.000

Output
* DFT formation energy: -99 meV/atom
* spin magnetization: 0.00 μB per atom
* space group: I4mm (107)


A relaxed structure of Sr2Li4Hg, computed with PBE.

Unit cell a=9.325 b=9.325 c=9.325 alpha=148.29 beta=148.29 gamma=45.46
Fractional coordinates of all 7 atoms:
Sr  0.144  0.144  0.000
Sr  0.856  0.856  0.000
Li  0.000  0.500  0.500
Li  0.348  0.348  0.000
Li  0.500  0.000  0.500
Li  0.652  0.652  0.000
Hg  0.500  0.500  0.000

Output
* DFT formation energy: -21 meV/atom
* spin magnetization: 0.00 μB per atom
* space group: I4/mmm (139)


A relaxed structure of Sr8Li2Hg, computed with PBE.

Unit cell a=10.826 b=10.826 c=8.071 alpha=107.11 beta=107.11 gamma=32.66
Fractional coordinates of all 11 atoms:
Sr  0.024  0.024  0.288
Sr  0.203  0.203  0.805
Sr  0.343  0.343  0.534
Sr  0.409  0.409  0.068
Sr  0.591  0.591  0.932
Sr  0.657  0.657  0.466
Sr  0.797  0.797  0.195
Sr  0.976  0.976  0.712
Li  0.182  0.182  0.214
Li  0.818  0.818  0.786
Hg  0.500  0.500  0.500

Output
* DFT formation energy: -64 meV/atom
* spin magnetization: 0.00 μB per atom
* offset from the most stable computed form: 0.000 eV/atom
* space group: C2/m (12)


A relaxed structure of SrLi9Hg3, computed with PBE.

Unit cell a=7.488 b=7.488 c=7.398 alpha=98.11 beta=98.11 gamma=134.31
Fractional coordinates of all 13 atoms:
Sr  0.000  0.000  0.000
Li  0.024  0.667  0.650
Li  0.270  0.497  0.774
Li  0.333  0.976  0.350
Li  0.497  0.270  0.774
Li  0.500  0.500  0.500
Li  0.503  0.730  0.226
Li  0.667  0.024  0.650
Li  0.730  0.503  0.226
Li  0.976  0.333  0.350
Hg  0.000  0.000  0.500
Hg  0.000  0.500  0.000
Hg  0.500  0.000  0.000

Output
* DFT formation energy: -218 meV/atom
* spin magnetization: 0.00 μB per atom
* space group: C2/m (12)


A relaxed structure of Sr2LiHg2, computed with PBE.

Unit cell a=9.306 b=9.306 c=3.885 alpha=90.00 beta=90.00 gamma=90.00
Fractional coordinates of all 10 atoms:
Sr  0.149  0.351  0.000
Sr  0.351  0.851  0.000
Sr  0.649  0.149  0.000
Sr  0.851  0.649  0.000
Li  0.000  0.000  0.000
Li  0.500  0.500  0.000
Hg  0.146  0.646  0.500
Hg  0.354  0.146  0.500
Hg  0.646  0.854  0.500
Hg  0.854  0.354  0.500

Output
* DFT formation energy: -260 meV/atom
* spin magnetization: 0.00 μB per atom
* offset from the most stable computed form: 0.168 eV/atom
* space group: P4/mbm (127)


A relaxed structure of SrLi4Hg4, computed with PBE.

Unit cell a=6.963 b=6.963 c=6.963 alpha=97.86 beta=97.86 gamma=136.58
Fractional coordinates of all 9 atoms:
Sr  0.000  0.000  0.000
Li  0.233  0.358  0.591
Li  0.358  0.767  0.124
Li  0.642  0.233  0.876
Li  0.767  0.642  0.409
Hg  0.091  0.643  0.733
Hg  0.357  0.091  0.448
Hg  0.643  0.909  0.552
Hg  0.909  0.357  0.267

Output
* DFT formation energy: -280 meV/atom
* spin magnetization: 0.00 μB per atom
* space group: I4/m (87)


A relaxed structure of Sr5LiHg4, computed with PBE.

Unit cell a=4.014 b=4.014 c=20.467 alpha=90.00 beta=90.00 gamma=90.00
Fractional coordinates of all 10 atoms:
Sr  0.000  0.000  0.000
Sr  0.000  0.000  0.197
Sr  0.000  0.000  0.390
Sr  0.000  0.000  0.610
Sr  0.000  0.000  0.803
Li  0.500  0.500  0.500
Hg  0.500  0.500  0.098
Hg  0.500  0.500  0.298
Hg  0.500  0.500  0.702
Hg  0.500  0.500  0.902

Output
* DFT formation energy: -430 meV/atom
* spin magnetization: 0.00 μB per atom
* space group: P4/mmm (123)


A relaxed structure of SrLi6Hg4, computed with PBE.

Unit cell a=7.848 b=7.848 c=4.469 alpha=90.00 beta=90.00 gamma=120.00
Fractional coordinates of all 11 atoms:
Sr  0.000  0.000  0.000
Li  0.209  0.417  0.500
Li  0.209  0.791  0.500
Li  0.535  0.070  0.000
Li  0.535  0.465  0.000
Li  0.583  0.791  0.500
Li  0.930  0.465  0.000
Hg  0.333  0.667  0.000
Hg  0.396  0.198  0.500
Hg  0.802  0.198  0.500
Hg  0.802  0.604  0.500

Output
* DFT formation energy: -331 meV/atom
* spin magnetization: 0.00 μB per atom
* space group: P-6m2 (187)


A relaxed structure of Sr3Li2Hg3, computed with PBE.

Unit cell a=6.484 b=6.484 c=16.477 alpha=90.00 beta=90.00 gamma=136.21
Fractional coordinates of all 16 atoms:
Sr  0.079  0.921  0.609
Sr  0.079  0.921  0.891
Sr  0.365  0.635  0.750
Sr  0.635  0.365  0.250
Sr  0.921  0.079  0.109
Sr  0.921  0.079  0.391
Li  0.221  0.779  0.086
Li  0.221  0.779  0.414
Li  0.779  0.221  0.586
Li  0.779  0.221  0.914
Hg  0.341  0.659  0.250
Hg  0.381  0.619  0.545
Hg  0.381  0.619  0.955
Hg  0.619  0.381  0.045
Hg  0.619  0.381  0.455
Hg  0.659  0.341  0.750

Output
* DFT formation energy: -410 meV/atom
* spin magnetization: 0.00 μB per atom
* space group: Cmcm (63)


A relaxed structure of SrLi3Hg2, computed with PBE.

Unit cell a=8.477 b=8.477 c=8.725 alpha=114.98 beta=114.98 gamma=31.15
Fractional coordinates of all 12 atoms:
Sr  0.148  0.148  0.057
Sr  0.852  0.852  0.943
Li  0.043  0.043  0.379
Li  0.309  0.309  0.531
Li  0.413  0.413  0.340
Li  0.587  0.587  0.660
Li  0.691  0.691  0.469
Li  0.957  0.957  0.621
Hg  0.191  0.191  0.693
Hg  0.473  0.473  0.813
Hg  0.527  0.527  0.187
Hg  0.809  0.809  0.307

Output
* DFT formation energy: -332 meV/atom
* spin magnetization: 0.00 μB per atom
* offset from the most stable computed form: 0.011 eV/atom
* space group: C2/m (12)


A relaxed structure of Sr4LiHg2, computed with PBE.

Unit cell a=6.987 b=6.987 c=6.987 alpha=110.14 beta=110.14 gamma=108.15
Fractional coordinates of all 7 atoms:
Sr  0.000  0.000  0.500
Sr  0.000  0.500  0.000
Sr  0.500  0.000  0.000
Sr  0.500  0.500  0.500
Li  0.000  0.000  0.000
Hg  0.000  0.500  0.500
Hg  0.500  0.000  0.500

Output
* DFT formation energy: -253 meV/atom
* spin magnetization: 0.00 μB per atom
* space group: I4/mmm (139)


A relaxed structure of SrLiHg2, computed with PBE.

Unit cell a=3.992 b=3.992 c=6.951 alpha=90.00 beta=90.00 gamma=90.00
Fractional coordinates of all 4 atoms:
Sr  0.000  0.000  0.000
Li  0.500  0.500  0.643
Hg  0.000  0.000  0.519
Hg  0.500  0.500  0.243

Output
* DFT formation energy: -316 meV/atom
* spin magnetization: 0.00 μB per atom
* space group: P4mm (99)


A relaxed structure of SrLi2Hg8, computed with PBE.

Unit cell a=8.490 b=8.490 c=5.604 alpha=97.13 beta=97.13 gamma=42.65
Fractional coordinates of all 11 atoms:
Sr  0.000  0.000  0.000
Li  0.255  0.255  0.636
Li  0.745  0.745  0.364
Hg  0.150  0.650  0.466
Hg  0.214  0.214  0.120
Hg  0.350  0.850  0.534
Hg  0.401  0.401  0.977
Hg  0.599  0.599  0.023
Hg  0.650  0.150  0.466
Hg  0.786  0.786  0.880
Hg  0.850  0.350  0.534

Output
* DFT formation energy: -265 meV/atom
* spin magnetization: 0.00 μB per atom
* offset from the most stable computed form: 0.000 eV/atom
* space group: C2/m (12)